[1]
DFT (PBE-GGA) results for an optimized crystal structure of Pm4Ga3Rh.

## Properties
- crystal system = orthorhombic

Cell and atoms, written as POSCAR:
```
Pm4Ga3Rh
1.0
4.337 0.000 0.000
0.000 4.245 0.000
0.000 0.000 10.837
Pm Ga Rh
4 3 1
direct
0.000 0.000 0.138
0.500 0.500 0.346
0.500 0.000 0.643
0.000 0.500 0.865
0.000 0.500 0.573
0.000 0.000 0.425
0.500 0.000 0.932
0.500 0.500 0.078
```


[2]
DFT (PBE-GGA) results for an optimized crystal structure of Pm5Ga2Rh5.

## Properties
- crystal system = monoclinic

Cell and atoms, written as POSCAR:
```
Pm5Ga2Rh5
1.0
3.908 0.000 0.000
-1.954 6.774 0.417
0.000 -2.608 10.222
Rh Pm Ga
5 5 2
direct
0.109 0.219 0.361
0.312 0.624 0.196
0.688 0.376 0.804
0.891 0.781 0.639
0.000 0.000 0.000
0.234 0.468 0.626
0.646 0.291 0.064
0.354 0.709 0.936
0.500 0.000 0.500
0.766 0.532 0.374
0.938 0.876 0.209
0.062 0.124 0.791
```


| no. | energy of formation from the pure elements (eV per formula unit) |
| --- | --- |
| 1 | -5.04 |
| 2 | -6.56 |